(1)
Na2YNpTe4, optimized geometry, DFT GGA-PBE; magnetic moment = 0.50 μB/atom
1.0
7.750 0.000 0.000
0.000 4.461 0.000
-2.592 0.000 7.523
Na Y Np Te
2 1 1 4
Direct
0.000 0.000 0.000 Na
0.500 0.500 0.000 Na
0.000 0.500 0.500 Y
0.500 0.000 0.500 Np
0.241 0.000 0.734 Te
0.252 0.500 0.266 Te
0.748 0.500 0.734 Te
0.759 0.000 0.266 Te


(2)
CrFeCl, optimized geometry, DFT GGA-PBE; ΔE to the lowest computed polymorph = 480 meV/atom; magnetic moment = 0.86 μB/atom
1.0
0.000 2.862 2.862
2.862 0.000 2.862
2.862 2.862 0.000
Cr Fe Cl
1 1 1
Direct
0.000 0.000 0.000 Cr
0.250 0.250 0.250 Fe
0.500 0.500 0.500 Cl


Number 1: raw formation energy -1.063 eV per atom. Number 2: raw formation energy 0.760 eV per atom.